A relaxed K2FeP2S6 crystal, computed with PBE.

a = 7.555 Å, b = 7.555 Å, c = 7.555 Å
α = 52.77°, β = 52.77°, γ = 52.77°
Fractional coordinates of all 11 atoms:
K 0.235 0.235 0.235
K 0.765 0.765 0.765
Fe 0.000 0.000 0.000
P 0.439 0.439 0.439
P 0.561 0.561 0.561
S 0.235 0.753 0.753
S 0.247 0.247 0.765
S 0.247 0.765 0.247
S 0.753 0.235 0.753
S 0.753 0.753 0.235
S 0.765 0.247 0.247

## Properties
energy relative to the lowest polymorph listed for this composition	1.465	eV/f.u.
raw formation energy	-0.4987	eV/atom
SG	No. 166


A relaxed K2FeP2S6 crystal, computed with PBE.

a = 6.046 Å, b = 12.491 Å, c = 8.701 Å
α = 90.00°, β = 120.28°, γ = 90.00°
Fractional coordinates of all 22 atoms:
K 0.161 0.190 0.458
K 0.161 0.310 0.958
K 0.839 0.690 0.042
K 0.839 0.810 0.542
Fe 0.500 0.000 0.000
Fe 0.500 0.500 0.500
P 0.153 0.526 0.635
P 0.153 0.974 0.135
P 0.847 0.026 0.865
P 0.847 0.474 0.365
S 0.057 0.050 0.744
S 0.057 0.450 0.244
S 0.318 0.656 0.592
S 0.318 0.844 0.092
S 0.415 0.094 0.226
S 0.415 0.406 0.726
S 0.585 0.594 0.274
S 0.585 0.906 0.774
S 0.682 0.156 0.908
S 0.682 0.344 0.408
S 0.943 0.550 0.756
S 0.943 0.950 0.256

## Properties
energy relative to the lowest polymorph listed for this composition	0.000	eV/f.u.
raw formation energy	-0.6319	eV/atom
SG	No. 14


A relaxed KFePS2 crystal, computed with PBE.

a = 4.807 Å, b = 4.807 Å, c = 4.392 Å
α = 90.00°, β = 90.00°, γ = 90.00°
Fractional coordinates of all 5 atoms:
K 0.000 0.000 0.000
Fe 0.500 0.500 0.500
P 0.500 0.500 0.000
S 0.000 0.500 0.500
S 0.500 0.000 0.500

## Properties
energy relative to the lowest polymorph listed for this composition	0.000	eV/f.u.
raw formation energy	-0.0721	eV/atom
SG	No. 123


A relaxed K2FeP2Se6 crystal, computed with PBE.

a = 6.430 Å, b = 13.017 Å, c = 8.928 Å
α = 90.00°, β = 121.74°, γ = 90.00°
Fractional coordinates of all 22 atoms:
K 0.145 0.197 0.435
K 0.145 0.303 0.935
K 0.855 0.697 0.065
K 0.855 0.803 0.565
Fe 0.500 0.000 0.000
Fe 0.500 0.500 0.500
P 0.151 0.525 0.636
P 0.151 0.975 0.136
P 0.849 0.025 0.864
P 0.849 0.475 0.364
Se 0.058 0.048 0.734
Se 0.058 0.452 0.234
Se 0.321 0.660 0.590
Se 0.321 0.840 0.090
Se 0.425 0.099 0.229
Se 0.425 0.401 0.729
Se 0.575 0.599 0.271
Se 0.575 0.901 0.771
Se 0.679 0.160 0.910
Se 0.679 0.340 0.410
Se 0.942 0.548 0.766
Se 0.942 0.952 0.266

## Properties
raw formation energy	-0.4936	eV/atom
SG	No. 14


A relaxed KFeP2Se8 crystal, computed with PBE.

a = 6.009 Å, b = 6.009 Å, c = 10.426 Å
α = 90.00°, β = 90.00°, γ = 120.00°
Fractional coordinates of all 12 atoms:
K 0.000 0.000 0.000
Fe 0.000 0.000 0.500
P 0.333 0.667 0.702
P 0.667 0.333 0.298
Se 0.035 0.702 0.360
Se 0.298 0.333 0.360
Se 0.333 0.035 0.640
Se 0.333 0.667 0.910
Se 0.667 0.333 0.090
Se 0.667 0.965 0.360
Se 0.702 0.667 0.640
Se 0.965 0.298 0.640

## Properties
raw formation energy	-0.1942	eV/atom
SG	No. 147


A relaxed K2TlFeP crystal, computed with PBE.

a = 6.789 Å, b = 6.789 Å, c = 5.009 Å
α = 90.00°, β = 90.00°, γ = 90.00°
Fractional coordinates of all 5 atoms:
K 0.000 0.500 0.000
K 0.500 0.000 0.000
Tl 0.000 0.000 0.000
Fe 0.500 0.500 0.500
P 0.000 0.000 0.500

## Properties
energy of formation	0.872	eV per atom
SG	No. 123


A relaxed KFe2PW crystal, computed with PBE.

a = 4.015 Å, b = 4.015 Å, c = 5.045 Å
α = 90.00°, β = 90.00°, γ = 90.00°
Fractional coordinates of all 5 atoms:
K 0.000 0.000 0.000
Fe 0.000 0.500 0.000
Fe 0.500 0.000 0.000
P 0.000 0.000 0.500
W 0.500 0.500 0.500

## Properties
energy of formation	2.913	eV per atom
energy relative to the lowest polymorph listed for this composition	5.008	eV/f.u.
SG	No. 123


A relaxed KFe2PW crystal, computed with PBE.

a = 4.544 Å, b = 4.544 Å, c = 5.902 Å
α = 90.00°, β = 90.00°, γ = 90.00°
Fractional coordinates of all 5 atoms:
K 0.000 0.000 0.000
Fe 0.000 0.500 0.500
Fe 0.500 0.000 0.500
P 0.500 0.500 0.000
W 0.000 0.000 0.500

## Properties
energy of formation	1.911	eV per atom
energy relative to the lowest polymorph listed for this composition	0.000	eV/f.u.
SG	No. 123


A relaxed KYFe2P crystal, computed with PBE.

a = 5.275 Å, b = 5.275 Å, c = 5.347 Å
α = 90.00°, β = 90.00°, γ = 90.00°
Fractional coordinates of all 5 atoms:
K 0.000 0.000 0.000
Y 0.500 0.500 0.500
Fe 0.000 0.500 0.500
Fe 0.500 0.000 0.500
P 0.500 0.500 0.000

## Properties
energy of formation	1.037	eV per atom
SG	No. 123


A relaxed KPaFe2S4 crystal, computed with PBE.

a = 6.348 Å, b = 6.730 Å, c = 7.586 Å
α = 90.00°, β = 90.00°, γ = 90.00°
Fractional coordinates of all 16 atoms:
K 0.000 0.000 0.000
K 0.500 0.500 0.500
Pa 0.000 0.000 0.500
Pa 0.500 0.500 0.000
Fe 0.000 0.500 0.158
Fe 0.000 0.500 0.842
Fe 0.500 0.000 0.342
Fe 0.500 0.000 0.658
S 0.226 0.228 0.290
S 0.226 0.772 0.710
S 0.274 0.272 0.790
S 0.274 0.728 0.210
S 0.726 0.272 0.210
S 0.726 0.728 0.790
S 0.774 0.228 0.710
S 0.774 0.772 0.290

## Properties
raw formation energy	-0.7547	eV/atom
SG	No. 23


A relaxed KPaFeS4 crystal, computed with PBE.

a = 6.391 Å, b = 6.182 Å, c = 8.946 Å
α = 90.00°, β = 108.71°, γ = 90.00°
Fractional coordinates of all 14 atoms:
K 0.239 0.250 0.446
K 0.761 0.750 0.554
Pa 0.249 0.250 0.942
Pa 0.751 0.750 0.058
Fe 0.269 0.750 0.166
Fe 0.731 0.250 0.834
S 0.057 0.750 0.912
S 0.071 0.750 0.331
S 0.482 0.513 0.801
S 0.482 0.987 0.801
S 0.518 0.013 0.199
S 0.518 0.487 0.199
S 0.929 0.250 0.669
S 0.943 0.250 0.088

## Properties
raw formation energy	-1.1685	eV/atom
SG	No. 11


A relaxed KPaFeS3 crystal, computed with PBE.

a = 8.884 Å, b = 3.870 Å, c = 9.203 Å
α = 90.00°, β = 111.35°, γ = 90.00°
Fractional coordinates of all 12 atoms:
K 0.206 0.250 0.236
K 0.794 0.750 0.764
Pa 0.308 0.750 0.821
Pa 0.692 0.250 0.179
Fe 0.085 0.250 0.588
Fe 0.915 0.750 0.412
S 0.111 0.250 0.851
S 0.196 0.750 0.513
S 0.459 0.750 0.147
S 0.541 0.250 0.853
S 0.804 0.250 0.487
S 0.889 0.750 0.149

## Properties
raw formation energy	-1.2502	eV/atom
SG	No. 11


A relaxed K3Pa3FeSe8 crystal, computed with PBE.

a = 9.229 Å, b = 9.229 Å, c = 9.229 Å
α = 52.63°, β = 52.63°, γ = 52.63°
Fractional coordinates of all 15 atoms:
K 0.000 0.500 0.500
K 0.500 0.000 0.500
K 0.500 0.500 0.000
Pa 0.000 0.000 0.500
Pa 0.000 0.500 0.000
Pa 0.500 0.000 0.000
Fe 0.500 0.500 0.500
Se 0.237 0.237 0.237
Se 0.242 0.727 0.727
Se 0.273 0.273 0.758
Se 0.273 0.758 0.273
Se 0.727 0.242 0.727
Se 0.727 0.727 0.242
Se 0.758 0.273 0.273
Se 0.763 0.763 0.763

## Properties
raw formation energy	-1.1553	eV/atom
SG	No. 166


A relaxed KFe2Pb crystal, computed with PBE.

a = 3.258 Å, b = 4.853 Å, c = 6.871 Å
α = 90.00°, β = 96.65°, γ = 90.00°
Fractional coordinates of all 4 atoms:
K 0.000 0.000 0.000
Fe 0.266 0.500 0.623
Fe 0.734 0.500 0.377
Pb 0.500 0.000 0.500

## Properties
energy of formation	0.694	eV per atom
energy relative to the lowest polymorph listed for this composition	1.056	eV/f.u.
SG	No. 10


A relaxed KFePb2 crystal, computed with PBE.

a = 6.758 Å, b = 9.928 Å, c = 3.256 Å
α = 90.00°, β = 90.00°, γ = 90.00°
Fractional coordinates of all 8 atoms:
K 0.000 0.000 0.000
K 0.500 0.500 0.000
Fe 0.000 0.500 0.000
Fe 0.500 0.000 0.000
Pb 0.250 0.250 0.500
Pb 0.250 0.750 0.500
Pb 0.750 0.250 0.500
Pb 0.750 0.750 0.500

## Properties
energy of formation	0.583	eV per atom
SG	No. 65


A relaxed K2FePb crystal, computed with PBE.

a = 12.774 Å, b = 12.774 Å, c = 5.084 Å
α = 90.00°, β = 90.00°, γ = 90.00°
Fractional coordinates of all 16 atoms:
K 0.056 0.250 0.125
K 0.250 0.556 0.375
K 0.250 0.944 0.875
K 0.444 0.250 0.625
K 0.556 0.750 0.625
K 0.750 0.056 0.875
K 0.750 0.444 0.375
K 0.944 0.750 0.125
Fe 0.000 0.000 0.000
Fe 0.000 0.500 0.250
Fe 0.500 0.000 0.750
Fe 0.500 0.500 0.500
Pb 0.000 0.000 0.500
Pb 0.000 0.500 0.750
Pb 0.500 0.000 0.250
Pb 0.500 0.500 0.000

## Properties
energy of formation	0.519	eV per atom
SG	No. 122


A relaxed KFePb4 crystal, computed with PBE.

a = 6.515 Å, b = 6.515 Å, c = 6.515 Å
α = 60.00°, β = 60.00°, γ = 60.00°
Fractional coordinates of all 6 atoms:
K 0.000 0.000 0.000
Fe 0.250 0.250 0.250
Pb 0.128 0.624 0.624
Pb 0.624 0.128 0.624
Pb 0.624 0.624 0.128
Pb 0.624 0.624 0.624

## Properties
energy of formation	0.498	eV per atom
SG	No. 216


A relaxed KFe2Pb crystal, computed with PBE.

a = 6.475 Å, b = 8.926 Å, c = 3.080 Å
α = 90.00°, β = 90.00°, γ = 90.00°
Fractional coordinates of all 8 atoms:
K 0.000 0.000 0.000
K 0.500 0.500 0.000
Fe 0.250 0.250 0.500
Fe 0.250 0.750 0.500
Fe 0.750 0.250 0.500
Fe 0.750 0.750 0.500
Pb 0.000 0.500 0.000
Pb 0.500 0.000 0.000

## Properties
energy of formation	1.111	eV per atom
energy relative to the lowest polymorph listed for this composition	2.721	eV/f.u.
SG	No. 65


A relaxed K2FePb crystal, computed with PBE.

a = 6.120 Å, b = 11.269 Å, c = 3.694 Å
α = 90.00°, β = 90.40°, γ = 90.00°
Fractional coordinates of all 8 atoms:
K 0.250 0.250 0.000
K 0.250 0.750 0.000
K 0.750 0.250 0.000
K 0.750 0.750 0.000
Fe 0.000 0.000 0.500
Fe 0.500 0.500 0.500
Pb 0.000 0.500 0.500
Pb 0.500 0.000 0.500

## Properties
energy of formation	0.658	eV per atom
SG	No. 12


A relaxed K2FePb crystal, computed with PBE.

a = 5.547 Å, b = 5.547 Å, c = 7.863 Å
α = 90.00°, β = 90.00°, γ = 90.00°
Fractional coordinates of all 8 atoms:
K 0.000 0.000 0.000
K 0.000 0.500 0.250
K 0.500 0.000 0.750
K 0.500 0.500 0.500
Fe 0.000 0.000 0.500
Fe 0.500 0.500 0.000
Pb 0.000 0.500 0.750
Pb 0.500 0.000 0.250

## Properties
energy of formation	0.604	eV per atom
SG	No. 119


no.,M_tot (μB per formula unit),E_tot (eV for the cell shown),N(E_F) (states/eV/atom)
1,4.014,-51.73,0.169
2,4.000,-106.39,0.106
3,2.753,-23.59,0.882
4,4.000,-95.63,0.099
5,2.409,-50.59,0.590
6,3.404,-14.08,4.132
7,1.093,-21.82,1.884
8,2.308,-26.83,1.463
9,6.569,-24.71,1.484
10,5.689,-100.13,0.451
11,3.694,-87.49,0.692
12,1.866,-77.88,0.522
13,6.614,-85.45,1.639
14,5.507,-18.95,0.979
15,3.143,-29.29,1.045
16,2.230,-49.16,0.876
17,3.419,-21.40,1.489
18,5.691,-34.58,1.376
19,3.202,-23.47,0.712
20,3.480,-23.90,2.006